4
Lattice="2.844 -5.021 0.000 2.844 5.021 0.000 -1.245 0.000 2.492" Properties=species:S:1:pos:R:3 comment="Ag2HgRu PBE-GGA optimized geometry" dft_energy_ev_per_atom=-3.376 pbc="T T T"
Ag 1.422 2.510 0.000
Ag 1.422 -2.510 0.000
Hg -0.623 0.000 1.246
Ru 2.222 0.000 1.246

---

4
Lattice="2.799 0.000 0.000 0.000 4.928 0.000 -0.074 0.000 4.886" Properties=species:S:1:pos:R:3 comment="AgHgRu2 PBE-GGA optimized geometry" dft_energy_ev_per_atom=-4.778 pbc="T T T"
Ag 0.000 0.000 0.000
Hg 1.362 0.000 2.443
Ru 0.705 2.464 3.714
Ru 2.020 2.464 1.172

---

4
Lattice="-2.138 2.138 3.876 2.138 -2.138 3.876 2.138 2.138 -3.876" Properties=species:S:1:pos:R:3 comment="Ag2HgRu PBE-GGA optimized geometry" dft_energy_ev_per_atom=-3.343 pbc="T T T"
Ag 0.000 0.000 0.000
Ag 0.000 2.138 1.938
Hg 2.138 0.000 1.938
Ru 0.000 0.000 3.876